No. 1
Crystalline NdAlRh at its relaxed geometry, computed with GGA-PBEsol.

Calculated volume (A^3/atom): 19.7
Energy relative to the elements (eV per atom): -0.794

Geometry as CIF:
```
data_NdAlRh
_chemical_formula_sum 'Nd4 Al4 Rh4'
_space_group_name_H-M_alt 'P n m a'
_space_group_IT_number 62
_space_group_name_Hall '-P 2ac 2n'
_cell_length_a 6.953
_cell_length_b 4.226
_cell_length_c 8.035
_cell_angle_alpha 90.00
_cell_angle_beta 90.00
_cell_angle_gamma 90.00
loop_
_atom_site_label
_atom_site_fract_x
_atom_site_fract_y
_atom_site_fract_z
Nd1 0.037 0.250 0.181
Al1 0.134 0.250 0.561
Rh1 0.231 0.750 0.382
```


No. 2
Crystalline CdFeAg at its relaxed geometry, computed with GGA-PBEsol.

Calculated volume (A^3/atom): 15.9
Excess energy over the best structure of this formula in the dataset (kJ/mol of atoms): 9.7
Energy relative to the elements (eV per atom): 0.373

Geometry as CIF:
```
data_CdFeAg
_chemical_formula_sum 'Cd1 Fe1 Ag1'
_space_group_name_H-M_alt 'P 3 m 1'
_space_group_IT_number 156
_space_group_name_Hall 'P 3 -2"'
_cell_length_a 4.4822
_cell_length_b 4.4822
_cell_length_c 2.7392
_cell_angle_alpha 90.00
_cell_angle_beta 90.00
_cell_angle_gamma 120.00
loop_
_atom_site_label
_atom_site_fract_x
_atom_site_fract_y
_atom_site_fract_z
Cd1 0.0000 0.0000 0.0000
Fe1 0.6667 0.3333 0.3538
Ag1 0.3333 0.6667 0.6273
```


No. 3
Crystalline LaNbSi2Se at its relaxed geometry, computed with GGA-PBEsol.

Calculated volume (A^3/atom): 29.9
E_form (uncorrected) (eV/atom): 1.45

Geometry as CIF:
```
data_LaNbSi2Se
_chemical_formula_sum 'La1 Nb1 Si2 Se1'
_space_group_name_H-M_alt 'P 4/m m m'
_space_group_IT_number 123
_space_group_name_Hall '-P 4 2'
_cell_length_a 5.252
_cell_length_b 5.252
_cell_length_c 5.416
_cell_angle_alpha 90.00
_cell_angle_beta 90.00
_cell_angle_gamma 90.00
loop_
_atom_site_label
_atom_site_fract_x
_atom_site_fract_y
_atom_site_fract_z
La1 0.000 0.000 0.000
Nb1 0.500 0.500 0.500
Si1 0.000 0.500 0.000
Se1 0.000 0.000 0.500
```


No. 4
Crystalline ZnPt2 at its relaxed geometry, computed with GGA-PBEsol.

Calculated volume (A^3/atom): 14.3
Energy relative to the elements (eV per atom): -0.336

Geometry as CIF:
```
data_ZnPt2
_chemical_formula_sum 'Zn4 Pt8'
_space_group_name_H-M_alt 'C m c m'
_space_group_IT_number 63
_space_group_name_Hall '-C 2c 2'
_cell_length_a 2.793
_cell_length_b 13.710
_cell_length_c 4.494
_cell_angle_alpha 90.00
_cell_angle_beta 90.00
_cell_angle_gamma 90.00
loop_
_atom_site_label
_atom_site_fract_x
_atom_site_fract_y
_atom_site_fract_z
Zn1 0.000 0.065 0.250
Pt1 0.000 0.274 0.750
Pt2 0.000 0.404 0.250
```


No. 5
Crystalline InPt2F at its relaxed geometry, computed with GGA-PBEsol.

Calculated volume (A^3/atom): 15.0
E_form (uncorrected) (eV/atom): -0.29

Geometry as CIF:
```
data_InPt2F
_chemical_formula_sum 'In4 Pt8 F4'
_space_group_name_H-M_alt 'F m -3 m'
_space_group_IT_number 225
_space_group_name_Hall '-F 4 2 3'
_cell_length_a 6.216
_cell_length_b 6.216
_cell_length_c 6.216
_cell_angle_alpha 90.00
_cell_angle_beta 90.00
_cell_angle_gamma 90.00
loop_
_atom_site_label
_atom_site_fract_x
_atom_site_fract_y
_atom_site_fract_z
In1 0.000 0.000 0.000
Pt1 0.250 0.250 0.250
F1 0.000 0.000 0.500
```


No. 6
Crystalline Ca2TaSiF at its relaxed geometry, computed with GGA-PBEsol.

Calculated volume (A^3/atom): 18.2
E_form (uncorrected) (eV/atom): -0.44

Geometry as CIF:
```
data_Ca2TaSiF
_chemical_formula_sum 'Ca2 Ta1 Si1 F1'
_space_group_name_H-M_alt 'P 4/m m m'
_space_group_IT_number 123
_space_group_name_Hall '-P 4 2'
_cell_length_a 4.475
_cell_length_b 4.475
_cell_length_c 4.554
_cell_angle_alpha 90.00
_cell_angle_beta 90.00
_cell_angle_gamma 90.00
loop_
_atom_site_label
_atom_site_fract_x
_atom_site_fract_y
_atom_site_fract_z
Ca1 0.000 0.500 0.000
Ta1 0.000 0.000 0.500
Si1 0.500 0.500 0.500
F1 0.000 0.000 0.000
```


No. 7
Crystalline Be4ZnOs at its relaxed geometry, computed with GGA-PBEsol.

Calculated volume (A^3/atom): 9.5
Energy relative to the elements (eV per atom): -0.134

Geometry as CIF:
```
data_Be4ZnOs
_chemical_formula_sum 'Be16 Zn4 Os4'
_space_group_name_H-M_alt 'F -4 3 m'
_space_group_IT_number 216
_space_group_name_Hall 'F -4 2 3'
_cell_length_a 6.103
_cell_length_b 6.103
_cell_length_c 6.103
_cell_angle_alpha 90.00
_cell_angle_beta 90.00
_cell_angle_gamma 90.00
loop_
_atom_site_label
_atom_site_fract_x
_atom_site_fract_y
_atom_site_fract_z
Be1 0.123 0.123 0.123
Zn1 0.000 0.000 0.500
Os1 0.250 0.250 0.750
```


No. 8
Crystalline NiPtRh2 at its relaxed geometry, computed with GGA-PBEsol.

Calculated volume (A^3/atom): 13.1
Energy relative to the elements (eV per atom): -0.012

Geometry as CIF:
```
data_NiPtRh2
_chemical_formula_sum 'Ni1 Pt1 Rh2'
_space_group_name_H-M_alt 'P 4 m m'
_space_group_IT_number 99
_space_group_name_Hall 'P 4 -2'
_cell_length_a 2.679
_cell_length_b 2.679
_cell_length_c 7.303
_cell_angle_alpha 90.00
_cell_angle_beta 90.00
_cell_angle_gamma 90.00
loop_
_atom_site_label
_atom_site_fract_x
_atom_site_fract_y
_atom_site_fract_z
Ni1 0.000 0.000 0.000
Pt1 0.500 0.500 0.245
Rh1 0.000 0.000 0.515
Rh2 0.500 0.500 0.766
```